No. 1
# FeP4Ru | Alexandria | PBE-GGA | optimized geometry
data_FeP4Ru
_chemical_formula_sum 'Fe4 P16 Ru4'
_cell_length_a 6.8990
_cell_length_b 6.8990
_cell_length_c 6.8990
_cell_angle_alpha 90.00
_cell_angle_beta 90.00
_cell_angle_gamma 90.00
_symmetry_space_group_name_H-M 'F -4 3 m'
_symmetry_Int_Tables_number 216
_symmetry_space_group_name_Hall 'F -4 2 3'
loop_
_atom_site_label
_atom_site_type_symbol
_atom_site_fract_x
_atom_site_fract_y
_atom_site_fract_z
Fe1 Fe 0.0000 0.0000 0.0000
P1 P 0.1264 0.1264 0.6264
Ru1 Ru 0.2500 0.2500 0.2500
# Calculated formation energy in eV/atom: 0.787

=====

No. 2
# Cs2KRbNa | Alexandria | PBE-GGA | optimized geometry
data_Cs2KRbNa
_chemical_formula_sum 'Cs2 K1 Rb1 Na1'
_cell_length_a 8.0212
_cell_length_b 8.0212
_cell_length_c 7.4350
_cell_angle_alpha 90.00
_cell_angle_beta 90.00
_cell_angle_gamma 90.00
_symmetry_space_group_name_H-M 'P 4/m m m'
_symmetry_Int_Tables_number 123
_symmetry_space_group_name_Hall '-P 4 2'
loop_
_atom_site_label
_atom_site_type_symbol
_atom_site_fract_x
_atom_site_fract_y
_atom_site_fract_z
Cs1 Cs 0.0000 0.5000 0.0000
K1 K 0.0000 0.0000 0.5000
Rb1 Rb 0.5000 0.5000 0.5000
Na1 Na 0.0000 0.0000 0.0000
# Calculated formation energy in eV/atom: 0.075
# Distance to the lowest polymorph of the same formula in meV per atom: 18

=====

No. 3
# AcTmCu2Si2 | Alexandria | PBE-GGA | optimized geometry
data_AcTmCu2Si2
_chemical_formula_sum 'Ac1 Tm1 Cu2 Si2'
_cell_length_a 4.2407
_cell_length_b 4.2407
_cell_length_c 7.8649
_cell_angle_alpha 90.00
_cell_angle_beta 90.00
_cell_angle_gamma 120.00
_symmetry_space_group_name_H-M 'P -3 m 1'
_symmetry_Int_Tables_number 164
_symmetry_space_group_name_Hall '-P 3 2"'
loop_
_atom_site_label
_atom_site_type_symbol
_atom_site_fract_x
_atom_site_fract_y
_atom_site_fract_z
Ac1 Ac 0.0000 0.0000 0.0000
Tm1 Tm 0.0000 0.0000 0.5000
Cu1 Cu 0.3333 0.6667 0.7055
Si1 Si 0.3333 0.6667 0.2805
# Formation energy from raw total energies in eV per formula unit: -3.66

=====

No. 4
# MnGaNi6 | Alexandria | PBE-GGA | optimized geometry
data_MnGaNi6
_chemical_formula_sum 'Mn2 Ga2 Ni12'
_cell_length_a 7.0643
_cell_length_b 4.7966
_cell_length_c 6.3879
_cell_angle_alpha 90.00
_cell_angle_beta 108.13
_cell_angle_gamma 90.00
_symmetry_space_group_name_H-M 'C 1 2/m 1'
_symmetry_Int_Tables_number 12
_symmetry_space_group_name_Hall '-C 2y'
loop_
_atom_site_label
_atom_site_type_symbol
_atom_site_fract_x
_atom_site_fract_y
_atom_site_fract_z
Mn1 Mn 0.0000 0.0000 0.0000
Ga1 Ga 0.0000 0.5000 0.5000
Ni1 Ni 0.1330 0.0000 0.4239
Ni2 Ni 0.2036 0.2385 0.8017
# Calculated formation energy in eV/atom: 0.132
# Distance to the lowest polymorph of the same formula in meV per atom: 329

=====

No. 5
# Zn2InAu | Alexandria | PBE-GGA | optimized geometry
data_Zn2InAu
_chemical_formula_sum 'Zn2 In1 Au1'
_cell_length_a 3.4545
_cell_length_b 3.7871
_cell_length_c 5.6192
_cell_angle_alpha 90.00
_cell_angle_beta 90.00
_cell_angle_gamma 90.00
_symmetry_space_group_name_H-M 'P m m m'
_symmetry_Int_Tables_number 47
_symmetry_space_group_name_Hall '-P 2 2'
loop_
_atom_site_label
_atom_site_type_symbol
_atom_site_fract_x
_atom_site_fract_y
_atom_site_fract_z
Zn1 Zn 0.0000 0.0000 0.2338
In1 In 0.5000 0.5000 0.5000
Au1 Au 0.5000 0.5000 0.0000
# Calculated formation energy in eV/atom: -0.038

=====

No. 6
# In2SbTe | Alexandria | PBE-GGA | optimized geometry
data_In2SbTe
_chemical_formula_sum 'In4 Sb2 Te2'
_cell_length_a 4.6998
_cell_length_b 4.6998
_cell_length_c 10.5719
_cell_angle_alpha 90.00
_cell_angle_beta 90.00
_cell_angle_gamma 90.00
_symmetry_space_group_name_H-M 'I 4/m m m'
_symmetry_Int_Tables_number 139
_symmetry_space_group_name_Hall '-I 4 2'
loop_
_atom_site_label
_atom_site_type_symbol
_atom_site_fract_x
_atom_site_fract_y
_atom_site_fract_z
In1 In 0.0000 0.5000 0.2500
Sb1 Sb 0.0000 0.0000 0.0000
Te1 Te 0.0000 0.0000 0.5000
# Formation energy from raw total energies in eV per formula unit: 0.12
# Distance to the lowest polymorph of the same formula in meV per atom: 187